No. 1
## AcTh4P5 (PBE)

Data for a relaxed AcTh4P5 crystal.

Lattice parameters (Å, degrees): 7.281 7.281 10.283 118.23 118.23 33.40
Sites, in units of the cell vectors:
Ac 0.000 0.000 0.000
Th 0.202 0.202 0.796
Th 0.403 0.403 0.601
Th 0.597 0.597 0.399
Th 0.798 0.798 0.204
P 0.000 0.000 0.500
P 0.203 0.203 0.310
P 0.392 0.392 0.105
P 0.608 0.608 0.895
P 0.797 0.797 0.690

DOS(E_F), states/eV per cell: 4.0
Formation energy, eV per formula unit: -15.22
Symmetry: C2/m
Total magnetic moment, μB per formula unit: 0.00

No. 2
## BaCuH4 (PBE)

Data for a relaxed BaCuH4 crystal.

Lattice parameters (Å, degrees): 5.905 5.905 4.668 91.17 91.17 106.16
Sites, in units of the cell vectors:
Ba 0.194 0.806 0.750
Ba 0.806 0.194 0.250
Cu 0.433 0.567 0.250
Cu 0.567 0.433 0.750
H 0.140 0.566 0.278
H 0.318 0.388 0.958
H 0.388 0.318 0.458
H 0.434 0.860 0.222
H 0.566 0.140 0.778
H 0.612 0.682 0.542
H 0.682 0.612 0.042
H 0.860 0.434 0.722

DOS(E_F), states/eV per cell: 2.8
Calculated total energy, eV per atom: -3.3357
Symmetry: C2/c
Total magnetic moment, μB per formula unit: 0.00

No. 3
## SnHPd2Ru (PBE)

Data for a relaxed SnHPd2Ru crystal.

Lattice parameters (Å, degrees): 4.016 4.016 4.131 90.00 90.00 90.00
Sites, in units of the cell vectors:
Sn 0.000 0.000 0.000
H 0.500 0.500 0.500
Pd 0.000 0.500 0.500
Pd 0.500 0.000 0.500
Ru 0.500 0.500 0.000

DOS(E_F), states/eV per cell: 3.2
Calculated total energy, eV per atom: -5.5949
Symmetry: P4/mmm
Total magnetic moment, μB per formula unit: 0.00

No. 4
## MgRe2Pt (PBE)

Data for a relaxed MgRe2Pt crystal.

Lattice parameters (Å, degrees): 5.933 5.933 5.933 100.00 100.00 130.76
Sites, in units of the cell vectors:
Mg 0.000 0.000 0.000
Mg 0.750 0.250 0.500
Re 0.167 0.625 0.042
Re 0.375 0.417 0.542
Re 0.583 0.125 0.958
Re 0.875 0.833 0.458
Pt 0.250 0.750 0.500
Pt 0.500 0.500 0.000

DOS(E_F), states/eV per cell: 8.5
Formation energy, eV per formula unit: 2.99
Symmetry: I-42d
Total magnetic moment, μB per formula unit: 0.00

No. 5
## La2ReAg (PBE)

Data for a relaxed La2ReAg crystal.

Lattice parameters (Å, degrees): 3.108 3.108 10.773 90.00 90.00 112.90
Sites, in units of the cell vectors:
La 0.000 0.000 0.000
La 0.500 0.500 0.333
Re 0.500 0.500 0.794
Ag 0.000 0.000 0.587

DOS(E_F), states/eV per cell: 4.1
Formation energy, eV per formula unit: 2.46
Symmetry: Cmm2
Excess energy over the best structure of this formula in the dataset, eV per formula unit: 2.23
Total magnetic moment, μB per formula unit: 0.00

No. 6
## CaYTm (PBE)

Data for a relaxed CaYTm crystal.

Lattice parameters (Å, degrees): 8.422 8.422 5.906 90.00 90.00 90.00
Sites, in units of the cell vectors:
Ca 0.000 0.209 0.000
Ca 0.000 0.791 0.000
Ca 0.209 0.000 0.500
Ca 0.791 0.000 0.500
Y 0.292 0.500 0.000
Y 0.500 0.292 0.500
Y 0.500 0.708 0.500
Y 0.708 0.500 0.000
Tm 0.000 0.332 0.500
Tm 0.000 0.668 0.500
Tm 0.332 0.000 0.000
Tm 0.668 0.000 0.000

DOS(E_F), states/eV per cell: 22.9
Formation energy, eV per formula unit: 1.67
Symmetry: P4_2/mmc
Excess energy over the best structure of this formula in the dataset, eV per formula unit: 1.47
Total magnetic moment, μB per formula unit: 0.00